# 1
DFT (GGA-PBE) results for NaPm2Cd6 after structural relaxation.

Cell and atoms, written as extended XYZ:
```
9
Lattice="5.545 -3.199 0.000 5.545 3.199 0.000 -0.012 0.000 6.512" Properties=species:S:1:pos:R:3 pbc="T T T"
Na 0.000 0.000 0.000
Pm 3.685 0.000 5.627
Pm 7.393 0.000 0.884
Cd 1.973 0.000 2.158
Cd 4.556 1.490 2.151
Cd 6.522 1.490 4.361
Cd 4.556 -1.490 2.151
Cd 6.522 -1.490 4.361
Cd 9.105 0.000 4.353
```

Results
The value obtained for the density of states at the Fermi level is 8.02 states/eV per cell. The value obtained for the total energy is -17.665 eV for the cell shown. The calculation puts the energy above the lowest structure with this stoichiometry at 0.109 eV per atom. The calculation puts the size of the total moment at 0.00 μB/atom. The value obtained for the formation energy is -1.4 eV/f.u. The calculation puts the volume at 231.0 Å³ per cell. Its symmetry is C2/m.

---

# 2
DFT (GGA-PBE) results for Na2PmCd4 after structural relaxation.

Cell and atoms, written as extended XYZ:
```
7
Lattice="2.534 1.463 8.223 -2.534 1.463 8.223 0.000 -2.926 8.223" Properties=species:S:1:pos:R:3 pbc="T T T"
Na 0.000 0.000 3.417
Na 0.000 0.000 21.253
Pm 0.000 0.000 0.000
Cd 0.000 0.000 6.670
Cd 0.000 0.000 9.925
Cd 0.000 0.000 14.745
Cd 0.000 0.000 18.000
```

Results
The value obtained for the density of states at the Fermi level is 5.26 states/eV per cell. The value obtained for the total energy is -12.439 eV for the cell shown. The calculation puts the size of the total moment at 0.00 μB/atom. The value obtained for the formation energy is -1.4 eV/f.u. The calculation puts the volume at 182.9 Å³ per cell. Its symmetry is R-3m.